Here is crystalline Cs4Br2F at its relaxed geometry from the Alexandria database. Energies are from GGA-PBE.

```
Cs4Br2F
1.0
-3.3688 4.8117 -1.4902
-4.8063 -3.6071 -0.7813
-6.3887 1.7435 7.7511
Br F Cs
2 1 4
Direct
0.6204 0.6204 0.7593
0.3796 0.3796 0.2407
0.0000 0.0000 0.0000
0.8169 0.8169 0.3663
0.1831 0.1831 0.6337
0.5000 0.0000 0.0000
0.0000 0.5000 0.0000
```

Results
raw formation energy	-1675	meV/atom
crystal system	tetragonal
V	339.70	Å³/f.u.
space-group type	No. 139